LiYTc2: relaxed, PBE-GGA.

Properties
N(E_F) (states/eV per cell): 3.44
Electronic total energy (eV per atom): -7.142
Spin magnetization (Bohr magnetons per cell): 0.000
Theoretical density (g/cm³): 6.81

a b c (Å): 3.1552 3.1552 7.1515
angles (deg): 90.00 90.00 90.00
Space group P4mm (No. 99)
Unique sites:
1 Li 0.0000 0.0000 0.0000 [1 per cell]
2 Y 0.5000 0.5000 0.6821 [1 per cell]
3 Tc 0.0000 0.0000 0.3953 [1 per cell]
4 Tc 0.5000 0.5000 0.2087 [1 per cell]

---

LiYTc2: relaxed, PBE-GGA.

Properties
N(E_F) (states/eV per cell): 3.46
Electronic total energy (eV per atom): -6.721
Spin magnetization (Bohr magnetons per cell): 0.000
Theoretical density (g/cm³): 7.11

a b c (Å): 2.7044 2.7044 9.3171
angles (deg): 90.00 90.00 90.00
Space group P4/mmm (No. 123)
Unique sites:
1 Li 0.0000 0.0000 0.0000 [1 per cell]
2 Y 0.0000 0.0000 0.5000 [1 per cell]
3 Tc 0.5000 0.5000 0.2326 [2 per cell]

---

Li2YTc: relaxed, PBE-GGA.

Properties
N(E_F) (states/eV per cell): 7.03
Electronic total energy (eV per atom): -4.827
Spin magnetization (Bohr magnetons per cell): 2.338
Theoretical density (g/cm³): 4.49

a b c (Å): 4.0298 4.0298 9.1424
angles (deg): 90.00 90.00 90.00
Space group I4/mmm (No. 139)
Unique sites:
1 Li 0.0000 0.5000 0.2500 [4 per cell]
2 Y 0.0000 0.0000 0.0000 [2 per cell]
3 Tc 0.0000 0.0000 0.5000 [2 per cell]

---

LiYTc2: relaxed, PBE-GGA.

Properties
N(E_F) (states/eV per cell): 3.08
Electronic total energy (eV per atom): -6.963
Spin magnetization (Bohr magnetons per cell): 0.000
Theoretical density (g/cm³): 6.88

a b c (Å): 3.3537 3.3537 6.2594
angles (deg): 90.00 90.00 90.00
Space group P4/mmm (No. 123)
Unique sites:
1 Li 0.0000 0.0000 0.0000 [1 per cell]
2 Y 0.0000 0.0000 0.5000 [1 per cell]
3 Tc 0.5000 0.5000 0.1786 [2 per cell]

---

> Which of these has the lowest electronic total energy?

number 1

---

> What is the formula in the fourth record?

LiYTc2

---

> Which of these has the highest theoretical density?

number 2